DFT (PBE+U) results for a relaxed Cs2FeB2O6 crystal.

```
11
Lattice="-4.998 1.742 0.174 -3.917 -2.993 -1.937 -3.863 -3.656 6.218" Properties=species:S:1:pos:R:3 pbc="T T T"
Cs -9.505 -3.392 2.737
Cs -3.274 -1.514 1.717
O -5.656 -0.175 0.493
O -7.611 -2.594 4.915
O -7.424 -1.526 -0.382
O -5.355 -3.381 4.837
O -5.167 -2.312 -0.461
O -7.123 -4.732 3.962
Fe 0.000 0.000 0.000
B -6.075 -1.310 -0.175
B -6.704 -3.596 4.629
```

Computed properties:
The value obtained for the calculated total energy is -6.463 eV/atom. As for the density of states at the Fermi level: 3.96 states/eV/cell. As for the density: 3957 kg/m³.

---

DFT (PBE+U) results for a relaxed CsFe2B2O6 crystal.

```
11
Lattice="-4.548 -1.960 2.050 -3.831 -3.695 -5.033 2.701 -3.465 2.682" Properties=species:S:1:pos:R:3 pbc="T T T"
Fe -3.015 -6.116 1.477
Fe -2.663 -3.004 -1.778
O -4.421 -7.461 1.037
O -3.690 -4.335 1.679
O -1.848 -6.352 -0.123
O -3.831 -2.768 -0.178
O -1.988 -4.784 -1.980
O -1.257 -1.659 -1.338
B -4.408 -3.604 0.785
B -1.270 -5.516 -1.086
Cs -0.924 -2.712 2.366
```

Computed properties:
The value obtained for the calculated total energy is -6.956 eV/atom. As for the density of states at the Fermi level: 1.51 states/eV/cell. As for the density: 3369 kg/m³.